Compound: BaHgTe2
Source: the Alexandria database
Functional: PBEsol
Structure: relaxed

Output
Formation energy (no corrections): -785 meV per atom
Theoretical density: 4.7 Mg/m³
Size of the total moment: 0.0000 μB/atom

CIF file:
```
data_BaHgTe2
_symmetry_space_group_name_H-M 'P 1'
_symmetry_Int_Tables_number 1
_symmetry_space_group_name_Hall 'P 1'
_cell_length_a 5.4234
_cell_length_b 5.4234
_cell_length_c 8.8210
_cell_angle_alpha 72.10
_cell_angle_beta 72.10
_cell_angle_gamma 60.00
loop_
_atom_site_label
_atom_site_fract_x
_atom_site_fract_y
_atom_site_fract_z
Ba1 0.5000 0.5000 0.5000
Te1 0.8945 0.8945 0.3166
Te2 0.1055 0.1055 0.6834
Hg1 0.0000 0.0000 0.0000
```

***

Compound: LiTeSeN2
Source: the Alexandria database
Functional: PBEsol
Structure: relaxed

Output
Formation energy (no corrections): 900 meV per atom
Theoretical density: 4.7 Mg/m³
Size of the total moment: 0.0781 μB/atom
E above lowest polymorph: 0.0 meV per atom

CIF file:
```
data_LiTeSeN2
_symmetry_space_group_name_H-M 'P 1'
_symmetry_Int_Tables_number 1
_symmetry_space_group_name_Hall 'P 1'
_cell_length_a 3.9471
_cell_length_b 3.9471
_cell_length_c 5.4934
_cell_angle_alpha 90.00
_cell_angle_beta 90.00
_cell_angle_gamma 90.00
loop_
_atom_site_label
_atom_site_fract_x
_atom_site_fract_y
_atom_site_fract_z
Te1 0.0000 0.0000 0.0000
Se1 0.0000 0.0000 0.5000
N1 0.5000 0.0000 0.0000
Li1 0.5000 0.5000 0.5000
N2 0.0000 0.5000 0.0000
```

***

Compound: Ge2TeI
Source: the Alexandria database
Functional: PBEsol
Structure: relaxed

Output
Formation energy (no corrections): 201 meV per atom
Theoretical density: 6.7 Mg/m³
Size of the total moment: 0.0000 μB/atom

CIF file:
```
data_Ge2TeI
_symmetry_space_group_name_H-M 'P 1'
_symmetry_Int_Tables_number 1
_symmetry_space_group_name_Hall 'P 1'
_cell_length_a 5.1894
_cell_length_b 5.1894
_cell_length_c 5.1894
_cell_angle_alpha 60.00
_cell_angle_beta 60.00
_cell_angle_gamma 60.00
loop_
_atom_site_label
_atom_site_fract_x
_atom_site_fract_y
_atom_site_fract_z
Te1 0.0000 0.0000 0.0000
Ge1 0.7500 0.7500 0.7500
Ge2 0.2500 0.2500 0.2500
I1 0.5000 0.5000 0.5000
```

***

Compound: LiZn2Tc
Source: the Alexandria database
Functional: PBEsol
Structure: relaxed

Output
Theoretical density: 7.2 Mg/m³
Size of the total moment: 0.0000 μB/atom
Energy of formation from the pure elements: 121 meV/atom
E above lowest polymorph: 194.2 meV per atom

CIF file:
```
data_LiZn2Tc
_symmetry_space_group_name_H-M 'P 1'
_symmetry_Int_Tables_number 1
_symmetry_space_group_name_Hall 'P 1'
_cell_length_a 2.4847
_cell_length_b 4.2135
_cell_length_c 5.2278
_cell_angle_alpha 90.00
_cell_angle_beta 90.00
_cell_angle_gamma 90.00
loop_
_atom_site_label
_atom_site_fract_x
_atom_site_fract_y
_atom_site_fract_z
Tc1 0.5000 0.5000 0.7624
Zn1 0.5000 0.5000 0.2657
Zn2 0.0000 0.0000 0.9754
Li1 0.0000 0.0000 0.4965
```

***

- Which of these has the highest size of the total moment?
  LiTeSeN2

***

- size of the total moment of number 3 (Ge2TeI)?
  0.0000 μB/atom